# 1
VASP calculation (PBE) on a relaxed Ta2TcSe6 crystal.

Output
- total DFT energy (no corrections) (eV per atom) = -6.512
- space group = No. 14

Lattice parameters (Å, degrees): 6.324 6.219 11.626 90.00 122.53 90.00
Fractional coordinates of all 18 atoms:
Ta 0.171 0.167 0.249
Ta 0.171 0.333 0.749
Ta 0.829 0.667 0.251
Ta 0.829 0.833 0.751
Tc 0.000 0.000 0.500
Tc 0.000 0.500 0.000
Se 0.112 0.151 0.925
Se 0.112 0.349 0.425
Se 0.262 0.666 0.916
Se 0.262 0.834 0.416
Se 0.408 0.029 0.730
Se 0.408 0.471 0.230
Se 0.592 0.529 0.770
Se 0.592 0.971 0.270
Se 0.738 0.166 0.584
Se 0.738 0.334 0.084
Se 0.888 0.651 0.575
Se 0.888 0.849 0.075



# 2
VASP calculation (PBE) on a relaxed TaTcSe2 crystal.

Output
- total DFT energy (no corrections) (eV per atom) = -6.886
- space group = No. 65

Lattice parameters (Å, degrees): 3.242 3.242 8.200 90.00 90.00 123.13
Fractional coordinates of all 4 atoms:
Ta 0.000 0.000 0.000
Tc 0.000 0.000 0.500
Se 0.500 0.500 0.258
Se 0.500 0.500 0.742



# 3
VASP calculation (PBE) on a relaxed Ta2VTcSe crystal.

Output
- total DFT energy (no corrections) (eV per atom) = -8.023
- space group = No. 123

Lattice parameters (Å, degrees): 4.713 4.713 4.380 90.00 90.00 90.00
Fractional coordinates of all 5 atoms:
Ta 0.000 0.500 0.000
Ta 0.500 0.000 0.000
V 0.000 0.000 0.000
Tc 0.500 0.500 0.500
Se 0.000 0.000 0.500